# Pr8Ho4Cd, relaxed, DFT PBE
data_Pr8Ho4Cd
_cell_length_a 7.2548
_cell_length_b 7.2548
_cell_length_c 30.3422
_cell_angle_alpha 90.00
_cell_angle_beta 90.00
_cell_angle_gamma 120.00
_space_group_name_H-M_alt 'R -3 m'
_space_group_IT_number 166
_space_group_name_Hall '-R 3 2"'
loop_
_atom_site_label
_atom_site_fract_x
_atom_site_fract_y
_atom_site_fract_z
Pr1 0.0000 0.0000 0.2249
Pr2 0.0068 0.5034 0.7598
Ho1 0.0000 0.0000 0.0000
Ho2 0.0000 0.5000 0.0000
Cd1 0.0000 0.0000 0.5000
# Formation energy = 0.108 eV per atom

---

# Ag3RhCl7, relaxed, DFT PBE
data_Ag3RhCl7
_cell_length_a 12.243
_cell_length_b 7.526
_cell_length_c 7.419
_cell_angle_alpha 90.00
_cell_angle_beta 121.76
_cell_angle_gamma 90.00
_space_group_name_H-M_alt 'C 1 m 1'
_space_group_IT_number 8
loop_
_space_group_symop_operation_xyz
'x,y,z'
'x,-y,z'
'x+1/2,y+1/2,z'
'x+1/2,-y+1/2,z'
loop_
_atom_site_label
_atom_site_fract_x
_atom_site_fract_y
_atom_site_fract_z
Ag1 0.000 0.000 0.000
Ag2 0.074 0.290 0.572
Rh1 0.480 0.000 0.040
Cl1 0.003 0.000 0.641
Cl2 0.100 0.500 0.871
Cl3 0.120 0.272 0.262
Cl4 0.342 0.224 0.816
Cl5 0.385 0.000 0.243
# DFT total energy = -3.070 eV/atom

---

# NbV3P, relaxed, DFT PBE
data_NbV3P
_cell_length_a 4.575
_cell_length_b 4.575
_cell_length_c 4.575
_cell_angle_alpha 90.00
_cell_angle_beta 90.00
_cell_angle_gamma 90.00
_space_group_name_H-M_alt 'P m -3 m'
_space_group_IT_number 221
_space_group_name_Hall '-P 4 2 3'
loop_
_atom_site_label
_atom_site_fract_x
_atom_site_fract_y
_atom_site_fract_z
Nb1 0.000 0.000 0.000
V1 0.000 0.000 0.500
P1 0.500 0.500 0.500
# Formation energy = 1.582 eV per atom

---

# Si2AgRh, relaxed, DFT PBE
data_Si2AgRh
_cell_length_a 3.800
_cell_length_b 3.800
_cell_length_c 8.140
_cell_angle_alpha 90.00
_cell_angle_beta 90.00
_cell_angle_gamma 90.00
_space_group_name_H-M_alt 'I -4 m 2'
_space_group_IT_number 119
_space_group_name_Hall 'I -4 -2'
loop_
_atom_site_label
_atom_site_fract_x
_atom_site_fract_y
_atom_site_fract_z
Si1 0.000 0.000 0.000
Si2 0.000 0.500 0.250
Ag1 0.000 0.500 0.750
Rh1 0.000 0.000 0.500
# DFT total energy = -5.208 eV/atom

---

# EuCd4Sb, relaxed, DFT PBE
data_EuCd4Sb
_cell_length_a 8.549
_cell_length_b 8.549
_cell_length_c 8.549
_cell_angle_alpha 90.00
_cell_angle_beta 90.00
_cell_angle_gamma 90.00
_space_group_name_H-M_alt 'F -4 3 m'
_space_group_IT_number 216
_space_group_name_Hall 'F -4 2 3'
loop_
_atom_site_label
_atom_site_fract_x
_atom_site_fract_y
_atom_site_fract_z
Eu1 0.000 0.000 0.000
Cd1 0.125 0.125 0.625
Sb1 0.250 0.250 0.250
# DFT total energy = -3.173 eV/atom

---

# Zn6NiIr2, relaxed, DFT PBE
data_Zn6NiIr2
_cell_length_a 7.2119
_cell_length_b 7.2119
_cell_length_c 2.7601
_cell_angle_alpha 90.00
_cell_angle_beta 90.00
_cell_angle_gamma 120.00
_space_group_name_H-M_alt 'P -3 1 m'
_space_group_IT_number 162
_space_group_name_Hall '-P 3 2'
loop_
_atom_site_label
_atom_site_fract_x
_atom_site_fract_y
_atom_site_fract_z
Zn1 0.0000 0.3312 0.0794
Ni1 0.0000 0.0000 0.5000
Ir1 0.3333 0.6667 0.5000
# Formation energy = -0.139 eV per atom